# 1
DFT (PBE) results for a geometry-optimized Pm2Ho8Hg structure.

Cell lengths 18.710, 5.461, 7.443 Å; angles 90.00, 113.40, 90.00 degrees
Space group C2/m (No. 12)
One atom of each set of equivalent atoms:
1 Pm 0.192 0.000 0.192 [4 per cell]
2 Ho 0.000 0.000 0.246 [4 per cell]
3 Ho 0.134 0.500 0.898 [4 per cell]
4 Ho 0.135 0.500 0.371 [4 per cell]
5 Ho 0.184 0.000 0.684 [4 per cell]
6 Hg 0.000 0.500 0.500 [2 per cell]

M_tot	0.000	μB per atom
V	31.7	Å³ per atom
mass density	8.61	g/cm3
D(E_F)	1.524	states/eV per atom
ΔH_f (0 K)	0.1	eV/f.u.

=====

# 2
DFT (PBE) results for a geometry-optimized HfTaBr3 structure.

Cell lengths 5.251, 5.251, 5.251 Å; angles 90.00, 90.00, 90.00 degrees
Space group Pm-3m (No. 221)
One atom of each set of equivalent atoms:
1 Hf 0.000 0.000 0.000 [1 per cell]
2 Ta 0.500 0.500 0.500 [1 per cell]
3 Br 0.000 0.000 0.500 [3 per cell]

M_tot	0.881	μB per atom
V	29.0	Å³ per atom
mass density	6.87	g/cm3
D(E_F)	2.350	states/eV per atom
energy above the lowest structure with this stoichiometry	0.0	meV per atom
uncorrected formation energy	686	meV/atom